{
  "formula": "NbGa2Co",
  "functional": "meta-GGA SCAN",
  "state": "single point on PBEsol structure",
  "cell": [[-0.2095, -4.2045, 0.9106], [2.1541, -2.8376, -2.4204], [3.4415, -2.0290, 1.6094]],
  "species": ["Nb", "Co", "Ga", "Ga"],
  "frac_coords": [[0.5000, 0.5000, 0.5000], [0.0000, 0.0000, 0.0000], [0.2500, 0.2500, 0.2500], [0.7500, 0.7500, 0.7500]],
  "delta_e_f_ev_per_atom": -0.0141,
  "sg": "Fm-3m, No. 225"
}

***

{
  "formula": "Nb2GaCo2",
  "functional": "meta-GGA SCAN",
  "state": "single point on PBEsol structure",
  "cell": [[3.0821, 0.0000, 0.0000], [0.0000, 6.7533, 0.0000], [0.0000, 0.0000, 6.7533]],
  "species": ["Nb", "Nb", "Nb", "Nb", "Co", "Co", "Co", "Co", "Ga", "Ga"],
  "frac_coords": [[0.5000, 0.1750, 0.6750], [0.5000, 0.6750, 0.8250], [0.5000, 0.8250, 0.3250], [0.5000, 0.3250, 0.1750], [0.0000, 0.3729, 0.8729], [0.0000, 0.8729, 0.6271], [0.0000, 0.6271, 0.1271], [0.0000, 0.1271, 0.3729], [0.0000, 0.0000, 0.0000], [0.0000, 0.5000, 0.5000]],
  "delta_e_f_ev_per_atom": -0.1753,
  "sg": "P4/mbm, No. 127"
}

***

{
  "formula": "NbGa3Co",
  "functional": "meta-GGA SCAN",
  "state": "single point on PBEsol structure",
  "cell": [[4.8761, 0.0000, 0.0000], [0.0000, 4.8761, 0.0000], [0.0000, 0.0000, 4.8761]],
  "species": ["Nb", "Co", "Ga", "Ga", "Ga"],
  "frac_coords": [[0.0000, 0.0000, 0.0000], [0.5000, 0.5000, 0.5000], [0.0000, 0.5000, 0.0000], [0.0000, 0.0000, 0.5000], [0.5000, 0.0000, 0.0000]],
  "delta_e_f_ev_per_atom": 1.0058,
  "sg": "Pm-3m, No. 221"
}

***

{
  "formula": "NdGaCo",
  "functional": "meta-GGA SCAN",
  "state": "single point on PBEsol structure",
  "cell": [[-2.0536, 2.8099, -2.1868], [-5.6003, -1.2913, 3.6001], [2.0157, 5.4289, 5.0828]],
  "species": ["Nd", "Nd", "Nd", "Nd", "Ga", "Ga", "Ga", "Ga", "Co", "Co", "Co", "Co"],
  "frac_coords": [[0.7500, 0.9715, 0.8153], [0.7500, 0.4715, 0.6847], [0.2500, 0.0285, 0.1847], [0.2500, 0.5285, 0.3153], [0.7500, 0.8516, 0.4364], [0.7500, 0.3516, 0.0636], [0.2500, 0.1484, 0.5636], [0.2500, 0.6484, 0.9364], [0.7500, 0.2206, 0.3810], [0.7500, 0.7206, 0.1190], [0.2500, 0.7794, 0.6190], [0.2500, 0.2794, 0.8810]],
  "delta_e_f_ev_per_atom": -0.3302,
  "sg": "Pnma, No. 62"
}

***

{
  "formula": "Nd3GaCo3",
  "functional": "meta-GGA SCAN",
  "state": "single point on PBEsol structure",
  "cell": [[4.0900, 0.0000, 0.0000], [-2.0450, 5.0481, 0.0000], [0.0000, 0.0000, 13.0037]],
  "species": ["Nd", "Nd", "Nd", "Nd", "Nd", "Nd", "Ga", "Ga", "Co", "Co", "Co", "Co", "Co", "Co"],
  "frac_coords": [[0.2124, 0.4248, 0.1038], [0.7876, 0.5752, 0.8962], [0.2124, 0.4248, 0.3962], [0.7876, 0.5752, 0.6038], [0.5035, 0.0070, 0.2500], [0.4965, 0.9930, 0.7500], [0.5000, 0.0000, 0.0000], [0.5000, 0.0000, 0.5000], [0.9231, 0.8463, 0.0929], [0.0769, 0.1537, 0.9071], [0.9231, 0.8463, 0.4071], [0.0769, 0.1537, 0.5929], [0.8095, 0.6190, 0.2500], [0.1905, 0.3810, 0.7500]],
  "delta_e_f_ev_per_atom": -0.1480,
  "sg": "Cmcm, No. 63"
}

***

{
  "formula": "Nd2Ga9Co3",
  "functional": "meta-GGA SCAN",
  "state": "single point on PBEsol structure",
  "cell": [[7.3169, 0.0117, 0.0000], [-3.6225, 6.3572, 0.0000], [0.0000, 0.0000, 9.4224]],
  "species": ["Nd", "Nd", "Nd", "Nd", "Ga", "Ga", "Ga", "Ga", "Ga", "Ga", "Ga", "Ga", "Ga", "Ga", "Ga", "Ga", "Ga", "Ga", "Ga", "Ga", "Ga", "Ga", "Co", "Co", "Co", "Co", "Co", "Co"],
  "frac_coords": [[0.0028, 0.3312, 0.7500], [0.6688, 0.9972, 0.2500], [0.9972, 0.6688, 0.2500], [0.3312, 0.0028, 0.7500], [0.0030, 0.3345, 0.0699], [0.6655, 0.9970, 0.9301], [0.0030, 0.3345, 0.4301], [0.6655, 0.9970, 0.5699], [0.9970, 0.6655, 0.9301], [0.3345, 0.0030, 0.0699], [0.9970, 0.6655, 0.5699], [0.3345, 0.0030, 0.4301], [0.6648, 0.6648, 0.0535], [0.3352, 0.3352, 0.9465], [0.6648, 0.6648, 0.4465], [0.3352, 0.3352, 0.5535], [0.1253, 0.1253, 0.2500], [0.8747, 0.8747, 0.7500], [0.6627, 0.4524, 0.7500], [0.5476, 0.3373, 0.2500], [0.3373, 0.5476, 0.2500], [0.4524, 0.6627, 0.7500], [0.0000, 0.0000, 0.0000], [0.0000, 0.0000, 0.5000], [0.6703, 0.3297, 0.0000], [0.6703, 0.3297, 0.5000], [0.3297, 0.6703, 0.0000], [0.3297, 0.6703, 0.5000]],
  "delta_e_f_ev_per_atom": -0.4780,
  "sg": "Cmcm, No. 63"
}

***

{
  "formula": "GaCo2PtO",
  "functional": "meta-GGA SCAN",
  "state": "single point on PBEsol structure",
  "cell": [[-0.8936, -1.9124, 3.0102], [2.5503, -2.5119, -0.8387], [2.9588, 2.2363, 2.2992]],
  "species": ["O", "Co", "Co", "Ga", "Pt"],
  "frac_coords": [[0.0000, 0.0000, 0.0000], [0.0000, 0.5000, 0.0000], [0.5000, 0.0000, 0.0000], [0.0000, 0.0000, 0.5000], [0.5000, 0.5000, 0.5000]],
  "sg": "P4/mmm, No. 123",
  "raw_formation_energy_ev_per_fu": -2.019
}

***

{
  "formula": "GaCo2P",
  "functional": "meta-GGA SCAN",
  "state": "single point on PBEsol structure",
  "cell": [[-1.2345, -1.7810, -3.3202], [2.6454, -1.3522, -2.6256], [0.5147, -3.9037, -0.4646]],
  "species": ["P", "Co", "Co", "Ga"],
  "frac_coords": [[0.0000, 0.0000, 0.0000], [0.2500, 0.2500, 0.2500], [0.7500, 0.7500, 0.7500], [0.5000, 0.5000, 0.5000]],
  "delta_e_f_ev_per_atom": -0.0602,
  "sg": "Fm-3m, No. 225"
}

***

| no. | VASP energy (eV/atom) |
| --- | --- |
| 1 | -20.796 |
| 2 | -23.618 |
| 3 | -18.889 |
| 4 | -26.074 |
| 5 | -28.577 |
| 6 | -20.920 |
| 7 | -25.880 |
| 8 | -15.399 |